First-principles (PBE) data for crystalline Re3SiBi at its relaxed geometry, as listed in Alexandria via LeMat-Bulk.

Structure (CIF):
```
data_Re3SiBi
_space_group_name_H-M_alt 'P 1'
_space_group_IT_number 1
_cell_length_a 4.9939
_cell_length_b 4.9939
_cell_length_c 4.9939
_cell_angle_alpha 90.00
_cell_angle_beta 90.00
_cell_angle_gamma 90.00
loop_
_space_group_symop_operation_xyz
'x,y,z'
loop_
_atom_site_label
_atom_site_type_symbol
_atom_site_fract_x
_atom_site_fract_y
_atom_site_fract_z
Re1 Re 0.5000 0.0000 0.0000
Bi1 Bi 0.0000 0.0000 0.0000
Re2 Re 0.0000 0.0000 0.5000
Re3 Re 0.0000 0.5000 0.0000
Si1 Si 0.5000 0.5000 0.5000
```

- crystal system = cubic
- distance to the lowest polymorph of the same formula (meV/atom) = 2054.4
- formation energy without anion corrections (eV/atom) = 3.352
- total energy (eV per atom) = -5.98
- Fermi-level density of states (states/eV/cell) = 4.44